Run 1
Entry from Alexandria via LeMat-Bulk: a crystal of ReTc2 relaxed with PBEsol (SCAN).

a b c (Å): 3.8467 3.8467 23.0883
angles (deg): 90.00 90.00 90.00
Space group I4_1/amd (No. 141, origin choice 2)
Symmetry-distinct sites (fractional):
Re: 0.0000 0.2500 0.2919
Tc: 0.0000 0.2500 0.1249
Tc: 0.0000 0.2500 0.7920

The value obtained for the size of the total moment is 0.00 μB/f.u.



Run 2
Entry from Alexandria via LeMat-Bulk: a crystal of ReTc2 relaxed with PBEsol (SCAN).

a b c (Å): 4.1867 4.1867 2.9090
angles (deg): 90.00 90.00 90.00
Space group P4/mmm (No. 123)
Symmetry-distinct sites (fractional):
Re: 0.0000 0.0000 0.0000
Tc: 0.0000 0.5000 0.5000

The value obtained for the size of the total moment is 0.00 μB/f.u.



Stability, lowest: run 2



Run 1
Entry from Alexandria via LeMat-Bulk: a crystal of Re3Tc relaxed with PBEsol (SCAN).

a b c (Å): 2.7421 8.8511 4.7616
angles (deg): 90.00 90.00 90.00
Space group Imm2 (No. 44)
Symmetry-distinct sites (fractional):
Re: 0.0000 0.0000 0.0000
Re: 0.0000 0.2491 0.3306
Tc: 0.0000 0.5000 0.9972

The value obtained for the size of the total moment is 0.00 μB/f.u.



Run 2
Entry from Alexandria via LeMat-Bulk: a crystal of Re3Tc relaxed with PBEsol (SCAN).

a b c (Å): 3.8720 3.8720 15.4760
angles (deg): 90.00 90.00 90.00
Space group I4/mmm (No. 139)
Symmetry-distinct sites (fractional):
Re: 0.0000 0.0000 0.1254
Re: 0.0000 0.5000 0.0000
Re: 0.0000 0.5000 0.2500
Tc: 0.0000 0.0000 0.3754

The value obtained for the size of the total moment is 0.00 μB/f.u.



Stability, lowest: run 2



Run 1
Entry from Alexandria via LeMat-Bulk: a crystal of Re3Tc relaxed with PBEsol (SCAN).

a b c (Å): 2.7330 3.8744 5.4780
angles (deg): 90.00 90.00 90.00
Space group Pmmm (No. 47)
Symmetry-distinct sites (fractional):
Re: 0.0000 0.0000 0.0000
Re: 0.5000 0.5000 0.2520
Tc: 0.0000 0.0000 0.5000

The value obtained for the size of the total moment is 0.00 μB/f.u.



Run 2
Entry from Alexandria via LeMat-Bulk: a crystal of Re3Tc relaxed with PBEsol (SCAN).

a b c (Å): 5.4877 5.4877 4.4321
angles (deg): 90.00 90.00 120.00
Space group P6_3/mmc (No. 194)
Symmetry-distinct sites (fractional):
Re: 0.1666 0.3331 0.2500
Tc: 0.3333 0.6667 0.7500

The value obtained for the size of the total moment is 0.00 μB/f.u.



Stability, lowest: run 1



Run 1
Entry from Alexandria via LeMat-Bulk: a crystal of Re2Tc relaxed with PBEsol (SCAN).

a b c (Å): 10.0324 2.7425 6.4874
angles (deg): 90.00 104.66 90.00
Space group Cm (No. 8)
Symmetry-distinct sites (fractional):
Re: 0.0000 0.0000 0.0000
Re: 0.0564 0.0000 0.6113
Re: 0.2227 0.5000 0.9452
Re: 0.3887 0.0000 0.2804
Tc: 0.1675 0.5000 0.3351
Tc: 0.3333 0.0000 0.6676

The value obtained for the size of the total moment is 0.00 μB/f.u.



Run 2
Entry from Alexandria via LeMat-Bulk: a crystal of Re2Tc relaxed with PBEsol (SCAN).

a b c (Å): 2.7321 2.7321 11.6064
angles (deg): 90.00 90.00 90.00
Space group I4/mmm (No. 139)
Symmetry-distinct sites (fractional):
Re: 0.0000 0.0000 0.1655
Tc: 0.0000 0.0000 0.5000

The value obtained for the size of the total moment is 0.00 μB/f.u.



Stability, lowest: run 2



Run 1
Entry from Alexandria via LeMat-Bulk: a crystal of ReTc3 relaxed with PBEsol (SCAN).

a b c (Å): 3.8427 3.8427 3.8427
angles (deg): 90.00 90.00 90.00
Space group Pm-3m (No. 221)
Symmetry-distinct sites (fractional):
Re: 0.0000 0.0000 0.0000
Tc: 0.0000 0.5000 0.5000

The value obtained for the size of the total moment is 0.00 μB/f.u.



Run 2
Entry from Alexandria via LeMat-Bulk: a crystal of ReTc3 relaxed with PBEsol (SCAN).

a b c (Å): 4.6689 4.6689 4.6689
angles (deg): 90.00 90.00 90.00
Space group Pm-3m (No. 221)
Symmetry-distinct sites (fractional):
Re: 0.0000 0.0000 0.0000
Tc: 0.0000 0.0000 0.5000

The value obtained for the size of the total moment is 3.22 μB/f.u.



Run 3
Entry from Alexandria via LeMat-Bulk: a crystal of ReTc3 relaxed with PBEsol (SCAN).

a b c (Å): 2.7278 8.7548 4.7304
angles (deg): 90.00 90.00 90.00
Space group Imm2 (No. 44)
Symmetry-distinct sites (fractional):
Re: 0.0000 0.0000 0.0000
Tc: 0.0000 0.2491 0.3313
Tc: 0.0000 0.5000 0.9973

The value obtained for the size of the total moment is 0.00 μB/f.u.



Stability, lowest: run 2



Run 1
Entry from Alexandria via LeMat-Bulk: a crystal of ReTc3 relaxed with PBEsol (SCAN).

a b c (Å): 5.4257 7.6990 2.7162
angles (deg): 90.00 90.00 90.00
Space group Cmmm (No. 65)
Symmetry-distinct sites (fractional):
Re: 0.0000 0.0000 0.0000
Tc: 0.0000 0.5000 0.0000
Tc: 0.2500 0.2500 0.5000

The value obtained for the size of the total moment is 0.00 μB/f.u.



Run 2
Entry from Alexandria via LeMat-Bulk: a crystal of ReTc3 relaxed with PBEsol (SCAN).

a b c (Å): 2.7271 4.3808 4.7297
angles (deg): 90.00 90.00 90.00
Space group Pmm2 (No. 25)
Symmetry-distinct sites (fractional):
Re: 0.0000 0.0000 0.0000
Tc: 0.0000 0.5000 0.3322
Tc: 0.5000 0.0000 0.4979
Tc: 0.5000 0.5000 0.8309

The value obtained for the size of the total moment is 0.00 μB/f.u.



Stability, lowest: run 1